## Pm3Y4Zn (PBE-GGA)

Data for crystalline Pm3Y4Zn at its relaxed geometry.

a = 3.596 Å, b = 3.596 Å, c = 19.062 Å
α = 90.00°, β = 90.00°, γ = 90.00°
Positions (direct):
Pm (0.000, 0.000, 0.000)
Pm (0.000, 0.000, 0.270)
Pm (0.000, 0.000, 0.730)
Y (0.500, 0.500, 0.135)
Y (0.500, 0.500, 0.407)
Y (0.500, 0.500, 0.593)
Y (0.500, 0.500, 0.865)
Zn (0.000, 0.000, 0.500)

Output
The total energy is -5.250 eV/atom. For the size of the total moment, the calculation gives 0.0 μB/f.u. The crystal system is tetragonal.

## Pm2YZn (PBE-GGA)

Data for crystalline Pm2YZn at its relaxed geometry.

a = 3.655 Å, b = 3.655 Å, c = 8.720 Å
α = 90.00°, β = 90.00°, γ = 90.00°
Positions (direct):
Pm (0.000, 0.000, 0.208)
Pm (0.000, 0.000, 0.792)
Y (0.500, 0.500, 0.500)
Zn (0.500, 0.500, 0.000)

Output
The total energy is -4.457 eV/atom. For the size of the total moment, the calculation gives 0.0 μB/f.u. The calculation puts the energy above the most stable polymorph in this dataset at 0.013 eV per atom. The crystal system is tetragonal.

## Pm2Y3Zn3 (PBE-GGA)

Data for crystalline Pm2Y3Zn3 at its relaxed geometry.

a = 3.654 Å, b = 5.175 Å, c = 21.812 Å
α = 90.00°, β = 90.00°, γ = 90.00°
Positions (direct):
Pm (0.000, 0.000, 0.227)
Pm (0.000, 0.000, 0.773)
Pm (0.500, 0.500, 0.273)
Pm (0.500, 0.500, 0.727)
Y (0.000, 0.000, 0.000)
Y (0.000, 0.500, 0.115)
Y (0.000, 0.500, 0.885)
Y (0.500, 0.000, 0.385)
Y (0.500, 0.000, 0.615)
Y (0.500, 0.500, 0.500)
Zn (0.000, 0.000, 0.500)
Zn (0.000, 0.500, 0.388)
Zn (0.000, 0.500, 0.612)
Zn (0.500, 0.000, 0.112)
Zn (0.500, 0.000, 0.888)
Zn (0.500, 0.500, 0.000)

Output
The total energy is -4.340 eV/atom. For the size of the total moment, the calculation gives 0.0 μB/f.u. The crystal system is orthorhombic.

## Pm2YZn3 (PBE-GGA)

Data for crystalline Pm2YZn3 at its relaxed geometry.

a = 3.628 Å, b = 3.628 Å, c = 10.936 Å
α = 90.00°, β = 90.00°, γ = 90.00°
Positions (direct):
Pm (0.000, 0.000, 0.169)
Pm (0.000, 0.000, 0.831)
Y (0.000, 0.000, 0.500)
Zn (0.500, 0.500, 0.000)
Zn (0.500, 0.500, 0.341)
Zn (0.500, 0.500, 0.659)

Output
The total energy is -3.623 eV/atom. For the size of the total moment, the calculation gives 0.0 μB/f.u. The calculation puts the energy above the most stable polymorph in this dataset at 0.003 eV per atom. The crystal system is tetragonal.

## Pm2Y2Zn3 (PBE-GGA)

Data for crystalline Pm2Y2Zn3 at its relaxed geometry.

a = 5.051 Å, b = 5.054 Å, c = 8.750 Å
α = 73.27°, β = 73.30°, γ = 60.06°
Positions (direct):
Pm (0.126, 0.128, 0.119)
Pm (0.874, 0.872, 0.881)
Y (0.376, 0.377, 0.369)
Y (0.624, 0.623, 0.631)
Zn (0.000, 0.000, 0.500)
Zn (0.255, 0.254, 0.738)
Zn (0.745, 0.746, 0.262)

Output
The total energy is -3.954 eV/atom. For the size of the total moment, the calculation gives 0.0 μB/f.u. The crystal system is triclinic.

## Pm5YZn6 (PBE-GGA)

Data for crystalline Pm5YZn6 at its relaxed geometry.

a = 5.144 Å, b = 7.299 Å, c = 8.146 Å
α = 90.00°, β = 108.21°, γ = 90.00°
Positions (direct):
Pm (0.000, 0.000, 0.000)
Pm (0.332, 0.000, 0.664)
Pm (0.334, 0.500, 0.668)
Pm (0.666, 0.500, 0.332)
Pm (0.668, 0.000, 0.336)
Y (0.000, 0.500, 0.000)
Zn (0.164, 0.253, 0.329)
Zn (0.164, 0.747, 0.329)
Zn (0.500, 0.255, 0.000)
Zn (0.500, 0.745, 0.000)
Zn (0.836, 0.253, 0.671)
Zn (0.836, 0.747, 0.671)

Output
The total energy is -3.476 eV/atom. For the size of the total moment, the calculation gives 0.0 μB/f.u. The crystal system is monoclinic.